Record 1
{
  "formula": "Ce4HgPb",
  "functional": "PBE-GGA",
  "state": "relaxed",
  "n_ef_per_ev_cell": 32.9,
  "delta_e_f_mev_per_atom": -149,
  "lattice": [[-3.579, -4.159, 1.433], [2.859, -0.066, 6.950], [-4.447, 7.754, 0.176]],
  "species": ["Ce", "Ce", "Ce", "Hg", "Ce", "Ce", "Pb", "Pb", "Hg", "Ce", "Ce", "Ce"],
  "frac_coords": [[0.047, 0.909, 0.688], [0.642, 0.409, 0.688], [0.342, 0.541, 0.863], [0.500, 0.000, 0.500], [0.480, 0.959, 0.137], [0.520, 0.041, 0.863], [0.081, 0.250, 0.000], [0.919, 0.750, 0.000], [0.000, 0.500, 0.500], [0.358, 0.591, 0.312], [0.953, 0.091, 0.312], [0.658, 0.459, 0.137]]
}

***

Record 2
{
  "formula": "Ce3HgPb2",
  "functional": "PBE-GGA",
  "state": "relaxed",
  "n_ef_per_ev_cell": 20.3,
  "delta_e_f_mev_per_atom": -360,
  "lattice": [[3.537, 0.000, 0.000], [0.000, 3.537, 0.000], [0.000, 0.000, 13.718]],
  "species": ["Ce", "Pb", "Ce", "Hg", "Ce", "Pb"],
  "frac_coords": [[0.000, 0.000, 0.659], [0.500, 0.500, 0.171], [0.000, 0.000, 0.341], [0.500, 0.500, 0.500], [0.000, 0.000, 0.000], [0.500, 0.500, 0.829]]
}

***

Record 3
{
  "formula": "Ce2Hg4Pb3",
  "functional": "PBE-GGA",
  "state": "relaxed",
  "n_ef_per_ev_cell": 14.7,
  "delta_e_f_mev_per_atom": -260,
  "lattice": [[-2.814, 2.172, -3.277], [-0.158, -2.493, -5.083], [-8.582, -6.383, -0.427]],
  "species": ["Hg", "Pb", "Pb", "Hg", "Ce", "Ce", "Pb", "Hg", "Hg"],
  "frac_coords": [[0.328, 0.451, 0.892], [0.671, 0.220, 0.437], [0.329, 0.780, 0.563], [0.008, 0.653, 0.331], [0.345, 0.099, 0.212], [0.655, 0.901, 0.788], [0.000, 0.000, 0.000], [0.672, 0.549, 0.108], [0.992, 0.347, 0.669]]
}